Entry 1:
VASP calculation (GGA-PBE) on Tm2CuSi4Ni3 after structural relaxation.

a = 3.9296 Å, b = 3.9296 Å, c = 9.5842 Å
α = 90.00°, β = 90.00°, γ = 90.00°
Fractional positions:
Tm (0.5000, 0.0000, 0.2481)
Tm (0.0000, 0.5000, 0.7519)
Cu (0.5000, 0.5000, 0.5000)
Si (0.5000, 0.5000, 0.0000)
Si (0.0000, 0.0000, 0.0000)
Si (0.5000, 0.0000, 0.6373)
Si (0.0000, 0.5000, 0.3627)
Ni (0.0000, 0.0000, 0.5000)
Ni (0.5000, 0.0000, 0.8752)
Ni (0.0000, 0.5000, 0.1248)

Values from the calculation:
Energy, eV/atom: -5.984
Volume, Å³/atom: 14.80
Symmetry: P-4m2



Entry 2:
VASP calculation (GGA-PBE) on AcNb6S8 after structural relaxation.

a = 6.7322 Å, b = 6.7322 Å, c = 6.7322 Å
α = 87.20°, β = 87.20°, γ = 87.20°
Fractional positions:
Ac (0.0000, 0.0000, 0.0000)
Nb (0.5907, 0.4409, 0.7942)
Nb (0.4409, 0.7942, 0.5907)
Nb (0.7942, 0.5907, 0.4409)
Nb (0.4093, 0.5591, 0.2058)
Nb (0.5591, 0.2058, 0.4093)
Nb (0.2058, 0.4093, 0.5591)
S (0.7602, 0.7602, 0.7602)
S (0.2398, 0.2398, 0.2398)
S (0.6047, 0.8707, 0.2498)
S (0.8707, 0.2498, 0.6047)
S (0.2498, 0.6047, 0.8707)
S (0.3953, 0.1293, 0.7502)
S (0.1293, 0.7502, 0.3953)
S (0.7502, 0.3953, 0.1293)

Values from the calculation:
Energy, eV/atom: -7.617
Volume, Å³/atom: 20.27
Symmetry: R-3



Entry 3:
VASP calculation (GGA-PBE) on IrPtSe2 after structural relaxation.

a = 6.1460 Å, b = 6.1460 Å, c = 3.9088 Å
α = 84.28°, β = 84.28°, γ = 32.85°
Fractional positions:
Ir (0.4421, 0.4421, 0.4800)
Pt (0.2453, 0.2453, 0.1893)
Se (0.0360, 0.0360, 0.1443)
Se (0.7766, 0.7766, 0.6864)

Values from the calculation:
Energy, eV/atom: -5.327
Volume, Å³/atom: 19.91
Symmetry: Cm



Entry 4:
VASP calculation (GGA-PBE) on SiIrI2N after structural relaxation.

a = 5.6326 Å, b = 5.6326 Å, c = 3.7134 Å
α = 90.00°, β = 90.00°, γ = 90.00°
Fractional positions:
I (0.0000, 0.5000, 0.0000)
I (0.5000, 0.0000, 0.0000)
Si (0.5000, 0.5000, 0.5000)
Ir (0.0000, 0.0000, 0.0000)
N (0.0000, 0.0000, 0.5000)

Values from the calculation:
Volume, Å³/atom: 23.56
Energy above the most stable polymorph in this dataset, kcal/mol of atoms: 0.00
Symmetry: P4/mmm



Entry 5:
VASP calculation (GGA-PBE) on Sm3ErPb after structural relaxation.

a = 9.2444 Å, b = 9.2444 Å, c = 11.9786 Å
α = 107.39°, β = 107.39°, γ = 39.12°
Fractional positions:
Sm (0.9968, 0.8115, 0.7515)
Sm (0.1885, 0.0032, 0.7485)
Sm (0.0032, 0.1885, 0.2485)
Sm (0.8115, 0.9968, 0.2515)
Sm (0.7543, 0.6550, 0.7460)
Sm (0.3450, 0.2457, 0.7540)
Sm (0.2457, 0.3450, 0.2540)
Sm (0.6550, 0.7543, 0.2460)
Sm (0.3142, 0.7875, 0.0059)
Sm (0.2125, 0.6858, 0.4941)
Sm (0.7875, 0.3142, 0.5059)
Sm (0.6858, 0.2125, 0.9941)
Er (0.9183, 0.3847, 0.9961)
Er (0.6153, 0.0817, 0.5039)
Er (0.0817, 0.6153, 0.0039)
Er (0.3847, 0.9183, 0.4961)
Pb (0.0000, 0.5000, 0.5000)
Pb (0.5000, 0.0000, 0.0000)
Pb (0.4125, 0.5875, 0.2500)
Pb (0.5875, 0.4125, 0.7500)

Values from the calculation:
Volume, Å³/atom: 30.63
Symmetry: C2/c
ΔE_f, eV per atom: -0.21



Entry 6:
VASP calculation (GGA-PBE) on TbPm4Y3 after structural relaxation.

a = 3.4115 Å, b = 6.7664 Å, c = 12.2074 Å
α = 74.31°, β = 98.03°, γ = 90.00°
Fractional positions:
Y (0.0000, 0.5000, 0.0000)
Y (0.1240, 0.6339, 0.2480)
Y (0.8760, 0.3661, 0.7520)
Tb (0.5000, 0.0000, 0.0000)
Pm (0.7417, 0.2640, 0.4835)
Pm (0.2583, 0.7360, 0.5165)
Pm (0.1246, 0.1252, 0.2492)
Pm (0.8754, 0.8748, 0.7508)

Values from the calculation:
Volume, Å³/atom: 33.55
Energy above the most stable polymorph in this dataset, kcal/mol of atoms: 4.17
Symmetry: C2/m
ΔE_f, eV per atom: 0.20



Entry 7:
VASP calculation (GGA-PBE) on Cs4K2Hg after structural relaxation.

a = 7.4551 Å, b = 9.6837 Å, c = 9.5115 Å
α = 112.08°, β = 113.07°, γ = 90.00°
Fractional positions:
Cs (0.1567, 0.7952, 0.3134)
Cs (0.8433, 0.2048, 0.6866)
Cs (0.4731, 0.7522, 0.9461)
Cs (0.5269, 0.2478, 0.0539)
K (0.1999, 0.3252, 0.3998)
K (0.8001, 0.6748, 0.6002)
Hg (0.0000, 0.0000, 0.0000)

Values from the calculation:
Volume, Å³/atom: 82.37
Energy above the most stable polymorph in this dataset, kcal/mol of atoms: 0.00
Symmetry: C2/m
ΔE_f, eV per atom: -0.05



Entry 8:
VASP calculation (GGA-PBE) on PmHgS2O6 after structural relaxation.

a = 6.7047 Å, b = 6.7047 Å, c = 8.4319 Å
α = 108.49°, β = 108.49°, γ = 90.89°
Fractional positions:
Pm (0.5390, 0.4610, 0.2500)
Pm (0.4610, 0.5390, 0.7500)
Hg (0.1123, 0.8877, 0.2500)
Hg (0.8877, 0.1123, 0.7500)
S (0.3517, 0.0928, 0.7706)
S (0.9072, 0.6483, 0.7294)
S (0.6483, 0.9072, 0.2294)
S (0.0928, 0.3517, 0.2706)
O (0.9053, 0.4729, 0.2752)
O (0.5271, 0.0947, 0.2248)
O (0.0947, 0.5271, 0.7248)
O (0.4729, 0.9053, 0.7752)
O (0.1569, 0.3645, 0.1153)
O (0.6355, 0.8431, 0.3847)
O (0.8431, 0.6355, 0.8847)
O (0.3645, 0.1569, 0.6153)
O (0.2894, 0.4863, 0.4299)
O (0.5137, 0.7106, 0.0701)
O (0.7106, 0.5137, 0.5701)
O (0.4863, 0.2894, 0.9299)

Values from the calculation:
Energy, eV/atom: -5.948
Volume, Å³/atom: 16.90
Symmetry: C2/c